No. 1
# UTaC | Alexandria via LeMat-Bulk | PBE-GGA | optimized geometry
data_UTaC
_symmetry_space_group_name_H-M 'P 1'
_symmetry_Int_Tables_number 1
_cell_length_a 6.6973
_cell_length_b 6.6973
_cell_length_c 5.8278
_cell_angle_alpha 107.78
_cell_angle_beta 107.78
_cell_angle_gamma 117.95
loop_
_symmetry_equiv_pos_as_xyz
'x,y,z'
loop_
_atom_site_label
_atom_site_fract_x
_atom_site_fract_y
_atom_site_fract_z
U1 0.6250 0.3750 0.2500
U2 0.1250 0.3750 0.7500
U3 0.6250 0.3750 0.7500
U4 0.6250 0.8750 0.2500
Ta1 0.1221 0.8779 0.5000
Ta2 0.8721 0.1279 0.0000
Ta3 0.3779 0.6221 0.5000
Ta4 0.1279 0.8721 0.0000
C1 0.0751 0.5751 0.1502
C2 0.1749 0.1749 0.3498
C3 0.8251 0.8251 0.6502
C4 0.4249 0.9249 0.8498
# energy above the most stable polymorph in this dataset = 0.000 eV per atom
# space group = Fddd, No. 70
# formation energy = 0.090 eV/atom
# crystal system = orthorhombic
# mass density = 15.4 g/cm³

---

No. 2
# Ac2TcHN3 | Alexandria via LeMat-Bulk | PBE-GGA | optimized geometry
data_Ac2TcHN3
_symmetry_space_group_name_H-M 'P 1'
_symmetry_Int_Tables_number 1
_cell_length_a 3.8374
_cell_length_b 3.9795
_cell_length_c 7.3216
_cell_angle_alpha 105.77
_cell_angle_beta 105.19
_cell_angle_gamma 90.00
loop_
_symmetry_equiv_pos_as_xyz
'x,y,z'
loop_
_atom_site_label
_atom_site_fract_x
_atom_site_fract_y
_atom_site_fract_z
Ac1 0.6474 0.6474 0.2948
Ac2 0.3526 0.3526 0.7052
Tc1 0.0000 0.0000 0.0000
H1 0.5000 0.0000 0.0000
N1 0.0000 0.5000 0.0000
N2 0.1593 0.1593 0.3185
N3 0.8407 0.8407 0.6815
# space group = Immm, No. 71
# crystal system = orthorhombic
# mass density = 9.5 g/cm³
# energy = -7.48 eV/atom

---

No. 3
# Ta6Mo3Os | Alexandria via LeMat-Bulk | PBE-GGA | optimized geometry
data_Ta6Mo3Os
_symmetry_space_group_name_H-M 'P 1'
_symmetry_Int_Tables_number 1
_cell_length_a 4.5807
_cell_length_b 7.9235
_cell_length_c 9.7036
_cell_angle_alpha 105.91
_cell_angle_beta 90.00
_cell_angle_gamma 90.00
loop_
_symmetry_equiv_pos_as_xyz
'x,y,z'
loop_
_atom_site_label
_atom_site_fract_x
_atom_site_fract_y
_atom_site_fract_z
Ta1 0.2500 0.4547 0.1008
Ta2 0.7500 0.5453 0.8992
Ta3 0.2500 0.1502 0.2019
Ta4 0.7500 0.8498 0.7981
Ta5 0.2500 0.6452 0.6958
Ta6 0.7500 0.3548 0.3042
Ta7 0.2500 0.2482 0.5032
Ta8 0.7500 0.7518 0.4968
Ta9 0.2500 0.8477 0.3030
Ta10 0.7500 0.1523 0.6970
Ta11 0.2500 0.0540 0.8975
Ta12 0.7500 0.9460 0.1025
Mo1 0.2500 0.5494 0.3994
Mo2 0.7500 0.4506 0.6006
Mo3 0.2500 0.3486 0.7989
Mo4 0.7500 0.6514 0.2011
Mo5 0.2500 0.7533 0.9993
Mo6 0.7500 0.2467 0.0007
Os1 0.2500 0.9496 0.5988
Os2 0.7500 0.0504 0.4012
# space group = P2_1/m, No. 11
# formation energy = -0.239 eV/atom
# crystal system = monoclinic
# mass density = 15.3 g/cm³

---

No. 4
# LiSn4Pt2 | Alexandria via LeMat-Bulk | PBE-GGA | optimized geometry
data_LiSn4Pt2
_symmetry_space_group_name_H-M 'P 1'
_symmetry_Int_Tables_number 1
_cell_length_a 4.4419
_cell_length_b 4.4419
_cell_length_c 9.4701
_cell_angle_alpha 76.44
_cell_angle_beta 76.44
_cell_angle_gamma 60.00
loop_
_symmetry_equiv_pos_as_xyz
'x,y,z'
loop_
_atom_site_label
_atom_site_fract_x
_atom_site_fract_y
_atom_site_fract_z
Li1 0.0000 0.0000 0.0000
Sn1 0.3861 0.3861 0.8418
Sn2 0.2030 0.2030 0.3909
Sn3 0.7970 0.7970 0.6091
Sn4 0.6139 0.6139 0.1582
Pt1 0.0979 0.0979 0.7062
Pt2 0.9021 0.9021 0.2938
# space group = R-3m, No. 166
# formation energy = -0.483 eV/atom
# crystal system = trigonal
# mass density = 9.3 g/cm³

---

No. 5
# Ba2NaIn4Ga3 | Alexandria via LeMat-Bulk | PBE-GGA | optimized geometry
data_Ba2NaIn4Ga3
_symmetry_space_group_name_H-M 'P 1'
_symmetry_Int_Tables_number 1
_cell_length_a 4.8079
_cell_length_b 4.8079
_cell_length_c 12.3461
_cell_angle_alpha 90.00
_cell_angle_beta 90.00
_cell_angle_gamma 90.00
loop_
_symmetry_equiv_pos_as_xyz
'x,y,z'
loop_
_atom_site_label
_atom_site_fract_x
_atom_site_fract_y
_atom_site_fract_z
Ba1 0.5000 0.0000 0.2366
Ba2 0.0000 0.5000 0.7634
Na1 0.5000 0.5000 0.5000
In1 0.5000 0.5000 0.0000
In2 0.0000 0.0000 0.0000
In3 0.5000 0.0000 0.6398
In4 0.0000 0.5000 0.3602
Ga1 0.0000 0.0000 0.5000
Ga2 0.5000 0.0000 0.8653
Ga3 0.0000 0.5000 0.1347
# space group = P-4m2, No. 115
# formation energy = -0.320 eV/atom
# crystal system = tetragonal
# mass density = 5.6 g/cm³

---

No. 6
# Ho3TlFe | Alexandria via LeMat-Bulk | PBE-GGA | optimized geometry
data_Ho3TlFe
_symmetry_space_group_name_H-M 'P 1'
_symmetry_Int_Tables_number 1
_cell_length_a 5.5053
_cell_length_b 7.2927
_cell_length_c 7.2927
_cell_angle_alpha 120.00
_cell_angle_beta 90.00
_cell_angle_gamma 90.00
loop_
_symmetry_equiv_pos_as_xyz
'x,y,z'
loop_
_atom_site_label
_atom_site_fract_x
_atom_site_fract_y
_atom_site_fract_z
Ho1 0.2500 0.8245 0.1755
Ho2 0.7500 0.1755 0.8245
Ho3 0.2500 0.8244 0.6491
Ho4 0.7500 0.1756 0.3509
Ho5 0.2500 0.3509 0.1756
Ho6 0.7500 0.6491 0.8244
Tl1 0.2500 0.3335 0.6665
Tl2 0.7500 0.6665 0.3335
Fe1 0.0000 0.0000 0.0000
Fe2 0.5000 0.0000 0.0000
# energy above the most stable polymorph in this dataset = 0.046 eV per atom
# space group = P6_3/mmc, No. 194
# formation energy = -0.128 eV/atom
# crystal system = hexagonal
# mass density = 9.9 g/cm³

---

No. 7
# SmYMgAg | Alexandria via LeMat-Bulk | PBE-GGA | optimized geometry
data_SmYMgAg
_symmetry_space_group_name_H-M 'P 1'
_symmetry_Int_Tables_number 1
_cell_length_a 5.3015
_cell_length_b 5.3015
_cell_length_c 5.3015
_cell_angle_alpha 60.00
_cell_angle_beta 60.00
_cell_angle_gamma 60.00
loop_
_symmetry_equiv_pos_as_xyz
'x,y,z'
loop_
_atom_site_label
_atom_site_fract_x
_atom_site_fract_y
_atom_site_fract_z
Y1 0.7500 0.7500 0.7500
Mg1 0.5000 0.5000 0.5000
Ag1 0.0000 0.0000 0.0000
Sm1 0.2500 0.2500 0.2500
# energy above the most stable polymorph in this dataset = 0.041 eV per atom
# space group = F-43m, No. 216
# formation energy = -0.152 eV/atom
# crystal system = cubic
# mass density = 5.9 g/cm³

---

No. 8
# Cs4IBr3 | Alexandria via LeMat-Bulk | PBE-GGA | optimized geometry
data_Cs4IBr3
_symmetry_space_group_name_H-M 'P 1'
_symmetry_Int_Tables_number 1
_cell_length_a 7.5029
_cell_length_b 7.5029
_cell_length_c 9.1706
_cell_angle_alpha 114.15
_cell_angle_beta 114.15
_cell_angle_gamma 90.00
loop_
_symmetry_equiv_pos_as_xyz
'x,y,z'
loop_
_atom_site_label
_atom_site_fract_x
_atom_site_fract_y
_atom_site_fract_z
Cs1 0.0000 0.5000 0.0000
Cs2 0.5000 0.0000 0.0000
Cs3 0.2602 0.2602 0.5204
Cs4 0.7398 0.7398 0.4796
I1 0.0000 0.0000 0.0000
Br1 0.5000 0.5000 0.0000
Br2 0.7500 0.2500 0.5000
Br3 0.2500 0.7500 0.5000
# space group = I4/mmm, No. 139
# uncorrected formation energy = -1.7203 eV/atom
# crystal system = tetragonal
# mass density = 3.5 g/cm³

---

What did the eighth record say?
# Cs4IBr3 | Alexandria via LeMat-Bulk | PBE-GGA | optimized geometry
data_Cs4IBr3
_symmetry_space_group_name_H-M 'P 1'
_symmetry_Int_Tables_number 1
_cell_length_a 7.5029
_cell_length_b 7.5029
_cell_length_c 9.1706
_cell_angle_alpha 114.15
_cell_angle_beta 114.15
_cell_angle_gamma 90.00
loop_
_symmetry_equiv_pos_as_xyz
'x,y,z'
loop_
_atom_site_label
_atom_site_fract_x
_atom_site_fract_y
_atom_site_fract_z
Cs1 0.0000 0.5000 0.0000
Cs2 0.5000 0.0000 0.0000
Cs3 0.2602 0.2602 0.5204
Cs4 0.7398 0.7398 0.4796
I1 0.0000 0.0000 0.0000
Br1 0.5000 0.5000 0.0000
Br2 0.7500 0.2500 0.5000
Br3 0.2500 0.7500 0.5000
# space group = I4/mmm, No. 139
# uncorrected formation energy = -1.7203 eV/atom
# crystal system = tetragonal
# mass density = 3.5 g/cm³

---

Q: The highest mass density belongs to which entry?
A: UTaC

---

Q: Look up the mass density of the eighth one.
A: 3.5 g/cm³

---

Q: Look up the mass density of the fourth one.
A: 9.3 g/cm³